[1]
OsPt at its PBEsol-relaxed geometry, computed with meta-GGA SCAN.

Cell: 9.1304 9.1304 9.1304 Å, 17.18 17.18 17.18°
Sites, in units of the cell vectors:
1 Os 0.1282 0.1282 0.1282
2 Os 0.8718 0.8718 0.8718
3 Pt 0.3769 0.3769 0.3769
4 Pt 0.6231 0.6231 0.6231

Values from the calculation:
magnetic moment	0.00	Bohr magnetons per cell
uncorrected energy	-70.977	eV per atom



[2]
OsPt2 at its PBEsol-relaxed geometry, computed with meta-GGA SCAN.

Cell: 4.3974 4.3974 5.3729 Å, 90.00 90.00 120.00°
Sites, in units of the cell vectors:
1 Os 0.3333 0.6667 0.2500
2 Os 0.6667 0.3333 0.7500
3 Pt 0.0000 0.0000 0.0000
4 Pt 0.0000 0.0000 0.5000
5 Pt 0.3333 0.6667 0.7500
6 Pt 0.6667 0.3333 0.2500

Values from the calculation:
magnetic moment	0.00	Bohr magnetons per cell
distance to the lowest polymorph of the same formula	0.359	eV/atom
uncorrected energy	-70.294	eV per atom